## TaTlAs2O8 (PBE)

Data for an optimized crystal structure of TaTlAs2O8.

POSCAR file:
```
TaTlAs2O8
1.0
5.492 0.000 0.000
-2.746 4.756 0.000
0.000 0.000 8.482
Ta Tl As O
1 1 2 8
direct
0.000 0.000 0.000
0.000 0.000 0.500
0.333 0.667 0.782
0.667 0.333 0.218
0.166 0.333 0.861
0.166 0.834 0.861
0.333 0.166 0.139
0.333 0.667 0.586
0.667 0.333 0.414
0.667 0.834 0.861
0.834 0.166 0.139
0.834 0.667 0.139
```

Output
total magnetic moment	0.00	Bohr magnetons per cell
energy	-0.2534	hartree per atom
calculated density	4.97	g cm⁻³
calculated volume	18.5	Å³ per atom